1.
# LiHo2Sb | the Alexandria database | PBE-GGA | optimized geometry
data_LiHo2Sb
_chemical_formula_sum 'Li4 Ho8 Sb4'
_cell_length_a 7.3207
_cell_length_b 7.3207
_cell_length_c 7.3207
_cell_angle_alpha 90.00
_cell_angle_beta 90.00
_cell_angle_gamma 90.00
_space_group_name_H-M_alt 'F m -3 m'
_space_group_IT_number 225
_space_group_name_Hall '-F 4 2 3'
loop_
_atom_site_label
_atom_site_type_symbol
_atom_site_fract_x
_atom_site_fract_y
_atom_site_fract_z
Li1 Li 0.0000 0.0000 0.0000
Ho1 Ho 0.2500 0.2500 0.2500
Sb1 Sb 0.0000 0.0000 0.5000
# * raw formation energy: -0.4162 eV/atom
# * excess energy over the best structure of this formula in the dataset: 8.4 kJ/mol of atoms
# * crystal system: cubic

=====

2.
# Mg2IrAu | the Alexandria database | PBE-GGA | optimized geometry
data_Mg2IrAu
_chemical_formula_sum 'Mg4 Ir2 Au2'
_cell_length_a 3.2863
_cell_length_b 4.3633
_cell_length_c 9.3730
_cell_angle_alpha 90.00
_cell_angle_beta 90.00
_cell_angle_gamma 90.00
_space_group_name_H-M_alt 'I m m 2'
_space_group_IT_number 44
_space_group_name_Hall 'I 2 -2'
loop_
_atom_site_label
_atom_site_type_symbol
_atom_site_fract_x
_atom_site_fract_y
_atom_site_fract_z
Mg1 Mg 0.0000 0.0000 0.0000
Mg2 Mg 0.0000 0.5000 0.2268
Ir1 Ir 0.0000 0.0000 0.4930
Au1 Au 0.0000 0.5000 0.7450
# * formation energy: -0.33 eV/atom
# * crystal system: orthorhombic

=====

3.
# Li3GaPd4 | the Alexandria database | PBE-GGA | optimized geometry
data_Li3GaPd4
_chemical_formula_sum 'Li6 Ga2 Pd8'
_cell_length_a 5.3285
_cell_length_b 8.9621
_cell_length_c 4.8604
_cell_angle_alpha 90.00
_cell_angle_beta 90.00
_cell_angle_gamma 90.00
_space_group_name_H-M_alt 'I m m 2'
_space_group_IT_number 44
_space_group_name_Hall 'I 2 -2'
loop_
_atom_site_label
_atom_site_type_symbol
_atom_site_fract_x
_atom_site_fract_y
_atom_site_fract_z
Li1 Li 0.0000 0.0000 0.0000
Li2 Li 0.0000 0.2499 0.7694
Ga1 Ga 0.0000 0.5000 0.4943
Pd1 Pd 0.0000 0.2516 0.2723
Pd2 Pd 0.2489 0.5000 0.9912
# * formation energy: -0.40 eV/atom
# * excess energy over the best structure of this formula in the dataset: 18.1 kJ/mol of atoms
# * crystal system: orthorhombic

=====

4.
# Al2ReMo | the Alexandria database | PBE-GGA | optimized geometry
data_Al2ReMo
_chemical_formula_sum 'Al6 Re3 Mo3'
_cell_length_a 2.8840
_cell_length_b 2.8840
_cell_length_c 26.0513
_cell_angle_alpha 90.00
_cell_angle_beta 90.00
_cell_angle_gamma 120.00
_space_group_name_H-M_alt 'R 3 m'
_space_group_IT_number 160
_space_group_name_Hall 'R 3 -2"'
loop_
_atom_site_label
_atom_site_type_symbol
_atom_site_fract_x
_atom_site_fract_y
_atom_site_fract_z
Al1 Al 0.0000 0.0000 0.0000
Al2 Al 0.0000 0.0000 0.2450
Re1 Re 0.0000 0.0000 0.7480
Mo1 Mo 0.0000 0.0000 0.4937
# * formation energy: -0.06 eV/atom
# * excess energy over the best structure of this formula in the dataset: 24.3 kJ/mol of atoms
# * crystal system: trigonal

=====

5.
# MgVNi2B | the Alexandria database | PBE-GGA | optimized geometry
data_MgVNi2B
_chemical_formula_sum 'Mg1 V1 Ni2 B1'
_cell_length_a 4.1191
_cell_length_b 4.1191
_cell_length_c 4.6756
_cell_angle_alpha 90.00
_cell_angle_beta 90.00
_cell_angle_gamma 90.00
_space_group_name_H-M_alt 'P 4/m m m'
_space_group_IT_number 123
_space_group_name_Hall '-P 4 2'
loop_
_atom_site_label
_atom_site_type_symbol
_atom_site_fract_x
_atom_site_fract_y
_atom_site_fract_z
Mg1 Mg 0.0000 0.0000 0.0000
V1 V 0.0000 0.0000 0.5000
Ni1 Ni 0.0000 0.5000 0.0000
B1 B 0.5000 0.5000 0.5000
# * formation energy: 2.12 eV/atom
# * crystal system: tetragonal

=====

6.
# Li2CdOsN | the Alexandria database | PBE-GGA | optimized geometry
data_Li2CdOsN
_chemical_formula_sum 'Li2 Cd1 Os1 N1'
_cell_length_a 4.1885
_cell_length_b 4.1885
_cell_length_c 3.8316
_cell_angle_alpha 90.00
_cell_angle_beta 90.00
_cell_angle_gamma 90.00
_space_group_name_H-M_alt 'P 4/m m m'
_space_group_IT_number 123
_space_group_name_Hall '-P 4 2'
loop_
_atom_site_label
_atom_site_type_symbol
_atom_site_fract_x
_atom_site_fract_y
_atom_site_fract_z
Li1 Li 0.0000 0.5000 0.0000
Cd1 Cd 0.0000 0.0000 0.5000
Os1 Os 0.5000 0.5000 0.5000
N1 N 0.5000 0.5000 0.0000
# * raw formation energy: -0.1471 eV/atom
# * crystal system: tetragonal